# GaMo2OsO

A relaxed GaMo2OsO crystal (GGA+U, the Alexandria database).

CIF file:
```
data_GaMo2OsO
_chemical_formula_sum 'Ga1 Mo2 Os1 O1'
_cell_length_a 5.265
_cell_length_b 5.265
_cell_length_c 3.471
_cell_angle_alpha 90.00
_cell_angle_beta 90.00
_cell_angle_gamma 90.00
_space_group_name_H-M_alt 'P 1'
_space_group_IT_number 1
loop_
_space_group_symop_operation_xyz
'x,y,z'
loop_
_atom_site_label
_atom_site_type_symbol
_atom_site_fract_x
_atom_site_fract_y
_atom_site_fract_z
Ga1 Ga 0.000 0.000 0.000
Mo1 Mo 0.000 0.500 0.000
Mo2 Mo 0.500 0.000 0.000
Os1 Os 0.500 0.500 0.500
O1 O 0.000 0.000 0.500
```

Density: 8.1 g cm⁻³
Calculated total energy: -5.250 eV per atom
Total moment: 6.6 μB/f.u.